--- i ---
DFT (GGA-PBE) results for crystalline Co3PPd at its relaxed geometry.

a = 4.125 Å, b = 4.125 Å, c = 4.125 Å
α = 90.00°, β = 90.00°, γ = 90.00°
Fractional coordinates of all 5 atoms:
1 Co 0.000 0.000 0.500
2 Co 0.000 0.500 0.000
3 Co 0.500 0.000 0.000
4 P 0.000 0.000 0.000
5 Pd 0.500 0.500 0.500

Calculated values
The space group is Pm-3m (221). The calculation puts the density of states at the Fermi level at 4.05 states/eV/f.u. The calculated density comes out at 7433 kg/m³.


--- ii ---
DFT (GGA-PBE) results for crystalline Co3PPd at its relaxed geometry.

a = 4.532 Å, b = 4.532 Å, c = 4.532 Å
α = 90.00°, β = 90.00°, γ = 90.00°
Fractional coordinates of all 5 atoms:
1 Co 0.000 0.000 0.500
2 Co 0.000 0.500 0.000
3 Co 0.500 0.000 0.000
4 P 0.500 0.500 0.500
5 Pd 0.000 0.000 0.000

Calculated values
The space group is Pm-3m (221). The calculation puts the density of states at the Fermi level at 7.61 states/eV/f.u. The calculated density comes out at 5606 kg/m³.


Which is the most stable structure? i is the most stable.


--- i ---
DFT (GGA-PBE) results for crystalline CoPPdS2 at its relaxed geometry.

a = 4.842 Å, b = 4.842 Å, c = 4.411 Å
α = 90.00°, β = 90.00°, γ = 90.00°
Fractional coordinates of all 5 atoms:
1 Co 0.000 0.000 0.000
2 P 0.500 0.500 0.000
3 Pd 0.500 0.500 0.500
4 S 0.000 0.500 0.500
5 S 0.500 0.000 0.500

Calculated values
The space group is P4/mmm (123). The calculation puts the density of states at the Fermi level at 6.01 states/eV/f.u. The calculated density comes out at 4181 kg/m³.


--- ii ---
DFT (GGA-PBE) results for crystalline CoPPdS2 at its relaxed geometry.

a = 4.509 Å, b = 4.509 Å, c = 4.143 Å
α = 90.00°, β = 90.00°, γ = 90.00°
Fractional coordinates of all 5 atoms:
1 Co 0.000 0.000 0.000
2 P 0.000 0.000 0.500
3 Pd 0.500 0.500 0.500
4 S 0.000 0.500 0.000
5 S 0.500 0.000 0.000

Calculated values
The space group is P4/mmm (123). The calculation puts the density of states at the Fermi level at 4.30 states/eV/f.u. The calculated density comes out at 5134 kg/m³.


Which is the most stable structure? ii is the most stable.


--- i ---
DFT (GGA-PBE) results for crystalline PmCoP at its relaxed geometry.

a = 3.893 Å, b = 3.893 Å, c = 4.126 Å
α = 90.00°, β = 90.00°, γ = 120.00°
Fractional coordinates of all 3 atoms:
1 Pm 0.000 0.000 0.000
2 Co 0.667 0.333 0.500
3 P 0.333 0.667 0.500

Calculated values
The space group is P-6m2 (187). The calculation puts the density of states at the Fermi level at 2.96 states/eV/f.u. The calculated density comes out at 7205 kg/m³.


--- ii ---
DFT (GGA-PBE) results for crystalline PmCoP at its relaxed geometry.

a = 4.827 Å, b = 4.827 Å, c = 4.827 Å
α = 132.11°, β = 132.11°, γ = 70.06°
Fractional coordinates of all 3 atoms:
1 Pm 0.000 0.000 0.000
2 Co 0.624 0.624 0.000
3 P 0.353 0.353 0.000

Calculated values
The space group is I4mm (107). The calculation puts the density of states at the Fermi level at 3.86 states/eV/f.u. The calculated density comes out at 6426 kg/m³.


--- iii ---
DFT (GGA-PBE) results for crystalline PmCoP at its relaxed geometry.

a = 7.893 Å, b = 7.893 Å, c = 7.893 Å
α = 111.09°, β = 111.09°, γ = 111.09°
Fractional coordinates of all 18 atoms:
1 Pm 0.092 0.333 0.433
2 Pm 0.333 0.433 0.092
3 Pm 0.433 0.092 0.333
4 Pm 0.567 0.908 0.667
5 Pm 0.667 0.567 0.908
6 Pm 0.908 0.667 0.567
7 Co 0.099 0.683 0.289
8 Co 0.289 0.099 0.683
9 Co 0.317 0.711 0.901
10 Co 0.683 0.289 0.099
11 Co 0.711 0.901 0.317
12 Co 0.901 0.317 0.711
13 P 0.019 0.921 0.351
14 P 0.079 0.649 0.981
15 P 0.351 0.019 0.921
16 P 0.649 0.981 0.079
17 P 0.921 0.351 0.019
18 P 0.981 0.079 0.649

Calculated values
The space group is R-3 (148). The calculation puts the density of states at the Fermi level at 2.72 states/eV/f.u. The calculated density comes out at 6612 kg/m³.


Which is the most stable structure? i is the most stable.


--- i ---
DFT (GGA-PBE) results for crystalline PrCo5P3 at its relaxed geometry.

a = 11.864 Å, b = 3.700 Å, c = 10.436 Å
α = 90.00°, β = 90.00°, γ = 90.00°
Fractional coordinates of all 36 atoms:
1 Pr 0.201 0.250 0.083
2 Pr 0.299 0.750 0.583
3 Pr 0.701 0.250 0.417
4 Pr 0.799 0.750 0.917
5 Co 0.010 0.750 0.095
6 Co 0.010 0.750 0.713
7 Co 0.067 0.750 0.469
8 Co 0.175 0.250 0.779
9 Co 0.197 0.250 0.382
10 Co 0.303 0.750 0.882
11 Co 0.325 0.750 0.279
12 Co 0.433 0.250 0.969
13 Co 0.490 0.250 0.213
14 Co 0.490 0.250 0.595
15 Co 0.510 0.750 0.405
16 Co 0.510 0.750 0.787
17 Co 0.567 0.750 0.031
18 Co 0.675 0.250 0.721
19 Co 0.697 0.250 0.118
20 Co 0.803 0.750 0.618
21 Co 0.825 0.750 0.221
22 Co 0.933 0.250 0.531
23 Co 0.990 0.250 0.287
24 Co 0.990 0.250 0.905
25 P 0.107 0.750 0.893
26 P 0.110 0.250 0.582
27 P 0.130 0.750 0.277
28 P 0.370 0.250 0.777
29 P 0.390 0.750 0.082
30 P 0.393 0.250 0.393
31 P 0.607 0.750 0.607
32 P 0.610 0.250 0.918
33 P 0.630 0.750 0.223
34 P 0.870 0.250 0.723
35 P 0.890 0.750 0.418
36 P 0.893 0.250 0.107

Calculated values
The space group is Pnma (62). The calculation puts the density of states at the Fermi level at 6.06 states/eV/f.u. The calculated density comes out at 7662 kg/m³.


--- ii ---
DFT (GGA-PBE) results for crystalline PrCo5P3 at its relaxed geometry.

a = 5.992 Å, b = 5.992 Å, c = 11.402 Å
α = 90.00°, β = 90.00°, γ = 144.81°
Fractional coordinates of all 18 atoms:
1 Pr 0.161 0.839 0.750
2 Pr 0.839 0.161 0.250
3 Co 0.000 0.000 0.000
4 Co 0.000 0.000 0.500
5 Co 0.198 0.802 0.069
6 Co 0.198 0.802 0.431
7 Co 0.446 0.554 0.643
8 Co 0.446 0.554 0.857
9 Co 0.554 0.446 0.143
10 Co 0.554 0.446 0.357
11 Co 0.802 0.198 0.569
12 Co 0.802 0.198 0.931
13 P 0.109 0.891 0.250
14 P 0.383 0.617 0.038
15 P 0.383 0.617 0.462
16 P 0.617 0.383 0.538
17 P 0.617 0.383 0.962
18 P 0.891 0.109 0.750

Calculated values
The space group is Cmcm (63). The calculation puts the density of states at the Fermi level at 7.23 states/eV/f.u. The calculated density comes out at 7440 kg/m³.


Which is the most stable structure? ii is the most stable.


--- i ---
DFT (GGA-PBE) results for crystalline CoPPtS2 at its relaxed geometry.

a = 4.424 Å, b = 4.424 Å, c = 4.171 Å
α = 90.00°, β = 90.00°, γ = 90.00°
Fractional coordinates of all 5 atoms:
1 Co 0.000 0.000 0.000
2 P 0.000 0.000 0.500
3 Pt 0.500 0.500 0.500
4 S 0.000 0.500 0.000
5 S 0.500 0.000 0.000

Calculated values
The space group is P4/mmm (123). The calculation puts the density of states at the Fermi level at 4.46 states/eV/f.u. The calculated density comes out at 7102 kg/m³.


--- ii ---
DFT (GGA-PBE) results for crystalline CoPPtS2 at its relaxed geometry.

a = 4.946 Å, b = 4.946 Å, c = 4.368 Å
α = 90.00°, β = 90.00°, γ = 90.00°
Fractional coordinates of all 5 atoms:
1 Co 0.000 0.000 0.000
2 P 0.500 0.500 0.000
3 Pt 0.500 0.500 0.500
4 S 0.000 0.500 0.500
5 S 0.500 0.000 0.500

Calculated values
The space group is P4/mmm (123). The calculation puts the density of states at the Fermi level at 5.23 states/eV/f.u. The calculated density comes out at 5426 kg/m³.


Which is the most stable structure? i is the most stable.


--- i ---
DFT (GGA-PBE) results for crystalline TiCo2PPt at its relaxed geometry.

a = 4.628 Å, b = 4.628 Å, c = 4.402 Å
α = 90.00°, β = 90.00°, γ = 90.00°
Fractional coordinates of all 5 atoms:
1 Ti 0.000 0.000 0.000
2 Co 0.000 0.500 0.500
3 Co 0.500 0.000 0.500
4 P 0.500 0.500 0.000
5 Pt 0.500 0.500 0.500

Calculated values
The space group is P4/mmm (123). The calculation puts the density of states at the Fermi level at 7.83 states/eV/f.u. The calculated density comes out at 6901 kg/m³.


--- ii ---
DFT (GGA-PBE) results for crystalline TiCo2PPt at its relaxed geometry.

a = 4.090 Å, b = 4.090 Å, c = 4.527 Å
α = 90.00°, β = 90.00°, γ = 90.00°
Fractional coordinates of all 5 atoms:
1 Ti 0.000 0.000 0.000
2 Co 0.000 0.500 0.500
3 Co 0.500 0.000 0.500
4 P 0.000 0.000 0.500
5 Pt 0.500 0.500 0.000

Calculated values
The space group is P4/mmm (123). The calculation puts the density of states at the Fermi level at 5.29 states/eV/f.u. The calculated density comes out at 8591 kg/m³.


Which is the most stable structure? ii is the most stable.